DFT (GGA-PBE) results for a relaxed structure of PmNd5Sm2.

a b c (Å): 7.328 14.657 5.180
angles (deg): 90.00 90.00 90.00
Sites, in units of the cell vectors:
1 Pm 0.000 0.000 0.000
2 Pm 0.500 0.500 0.000
3 Nd 0.000 0.250 0.000
4 Nd 0.000 0.500 0.000
5 Nd 0.000 0.750 0.000
6 Nd 0.250 0.125 0.500
7 Nd 0.250 0.625 0.500
8 Nd 0.500 0.000 0.000
9 Nd 0.500 0.250 0.000
10 Nd 0.500 0.750 0.000
11 Nd 0.750 0.375 0.500
12 Nd 0.750 0.875 0.500
13 Sm 0.249 0.875 0.500
14 Sm 0.251 0.375 0.500
15 Sm 0.749 0.625 0.500
16 Sm 0.751 0.125 0.500

## Properties
space-group type	Pbam (55)
raw total energy	-4.740	eV per atom



DFT (GGA-PBE) results for a relaxed structure of PmNd3Sm2.

a b c (Å): 9.876 3.613 11.778
angles (deg): 90.00 93.54 90.00
Sites, in units of the cell vectors:
1 Pm 0.243 0.250 0.356
2 Pm 0.757 0.750 0.644
3 Nd 0.078 0.750 0.120
4 Nd 0.236 0.750 0.861
5 Nd 0.401 0.750 0.605
6 Nd 0.599 0.250 0.395
7 Nd 0.764 0.250 0.139
8 Nd 0.922 0.250 0.880
9 Sm 0.083 0.250 0.620
10 Sm 0.444 0.750 0.140
11 Sm 0.556 0.250 0.860
12 Sm 0.917 0.750 0.380

## Properties
space-group type	P2_1/m (11)
raw total energy	-4.680	eV per atom



DFT (GGA-PBE) results for a relaxed structure of Pm5NdSm2.

a b c (Å): 7.301 14.605 5.152
angles (deg): 90.00 90.00 90.00
Sites, in units of the cell vectors:
1 Pm 0.000 0.000 0.000
2 Pm 0.001 0.250 0.000
3 Pm 0.249 0.875 0.500
4 Pm 0.251 0.375 0.500
5 Pm 0.499 0.750 0.000
6 Pm 0.500 0.500 0.000
7 Pm 0.501 0.250 0.000
8 Pm 0.749 0.625 0.500
9 Pm 0.751 0.125 0.500
10 Pm 0.999 0.750 0.000
11 Nd 0.000 0.500 0.000
12 Nd 0.500 0.000 0.000
13 Sm 0.250 0.125 0.500
14 Sm 0.250 0.625 0.500
15 Sm 0.750 0.375 0.500
16 Sm 0.750 0.875 0.500

## Properties
space-group type	Pbam (55)
raw total energy	-4.731	eV per atom



DFT (GGA-PBE) results for a relaxed structure of Pm2Nd4Sm3.

a b c (Å): 3.658 3.658 27.247
angles (deg): 90.00 90.00 120.00
Sites, in units of the cell vectors:
1 Pm 0.000 0.000 0.000
2 Pm 0.000 0.000 0.216
3 Nd 0.000 0.000 0.344
4 Nd 0.000 0.000 0.561
5 Nd 0.333 0.667 0.671
6 Nd 0.333 0.667 0.891
7 Sm 0.000 0.000 0.781
8 Sm 0.333 0.667 0.111
9 Sm 0.333 0.667 0.450

## Properties
space-group type	P3m1 (156)
raw total energy	-4.687	eV per atom



Number 1: ΔH_f (0 K) 1.3 kJ per mole of atoms, relative energy among the computed polymorphs 0 meV per atom, Fermi-level density of states 26.03 states/eV/cell. Number 2: ΔH_f (0 K) 6.6 kJ per mole of atoms, relative energy among the computed polymorphs 0 meV per atom, Fermi-level density of states 17.12 states/eV/cell. Number 3: ΔH_f (0 K) 1.4 kJ per mole of atoms, relative energy among the computed polymorphs 0 meV per atom, Fermi-level density of states 25.13 states/eV/cell. Number 4: ΔH_f (0 K) 5.8 kJ per mole of atoms, relative energy among the computed polymorphs 48 meV per atom, Fermi-level density of states 16.94 states/eV/cell.